Arrangement one

Material: Fe2Co2Ag
Method: DFT, PBE
State: optimized geometry

Summary:
D(E_F) = 17.57 states/eV per cell
mass density = 9.336 g/cm³

Cell and atoms, written as CIF:
```
data_Fe2Co2Ag
_chemical_formula_sum 'Fe4 Co4 Ag2'
_cell_length_a 6.891
_cell_length_b 6.891
_cell_length_c 2.528
_cell_angle_alpha 90.00
_cell_angle_beta 90.00
_cell_angle_gamma 90.00
_symmetry_space_group_name_H-M 'P 4/m b m'
_symmetry_Int_Tables_number 127
_symmetry_space_group_name_Hall '-P 4 2ab'
loop_
_atom_site_label
_atom_site_type_symbol
_atom_site_fract_x
_atom_site_fract_y
_atom_site_fract_z
Fe1 Fe 0.117 0.383 0.000
Co1 Co 0.172 0.672 0.500
Ag1 Ag 0.000 0.000 0.000
```

Arrangement two

Material: Fe2Co2Ag
Method: DFT, PBE
State: optimized geometry

Summary:
D(E_F) = 18.61 states/eV per cell
mass density = 9.349 g/cm³

Cell and atoms, written as CIF:
```
data_Fe2Co2Ag
_chemical_formula_sum 'Fe4 Co4 Ag2'
_cell_length_a 6.882
_cell_length_b 6.882
_cell_length_c 2.530
_cell_angle_alpha 90.00
_cell_angle_beta 90.00
_cell_angle_gamma 90.00
_symmetry_space_group_name_H-M 'P 4/m b m'
_symmetry_Int_Tables_number 127
_symmetry_space_group_name_Hall '-P 4 2ab'
loop_
_atom_site_label
_atom_site_type_symbol
_atom_site_fract_x
_atom_site_fract_y
_atom_site_fract_z
Fe1 Fe 0.170 0.330 0.000
Co1 Co 0.121 0.621 0.500
Ag1 Ag 0.000 0.000 0.500
```

It is arrangement one that is most stable; the runner-up trails by 13 meV/atom.

Arrangement one

Material: GaCoAg3
Method: DFT, PBE
State: optimized geometry

Summary:
D(E_F) = 4.04 states/eV per cell
mass density = 6.797 g/cm³

Cell and atoms, written as CIF:
```
data_GaCoAg3
_chemical_formula_sum 'Ga1 Co1 Ag3'
_cell_length_a 4.798
_cell_length_b 4.798
_cell_length_c 4.798
_cell_angle_alpha 90.00
_cell_angle_beta 90.00
_cell_angle_gamma 90.00
_symmetry_space_group_name_H-M 'P m -3 m'
_symmetry_Int_Tables_number 221
_symmetry_space_group_name_Hall '-P 4 2 3'
loop_
_atom_site_label
_atom_site_type_symbol
_atom_site_fract_x
_atom_site_fract_y
_atom_site_fract_z
Ga1 Ga 0.000 0.000 0.000
Co1 Co 0.500 0.500 0.500
Ag1 Ag 0.000 0.000 0.500
```

Arrangement two

Material: GaCoAg3
Method: DFT, PBE
State: optimized geometry

Summary:
D(E_F) = 7.97 states/eV per cell
mass density = 6.588 g/cm³

Cell and atoms, written as CIF:
```
data_GaCoAg3
_chemical_formula_sum 'Ga1 Co1 Ag3'
_cell_length_a 4.849
_cell_length_b 4.849
_cell_length_c 4.849
_cell_angle_alpha 90.00
_cell_angle_beta 90.00
_cell_angle_gamma 90.00
_symmetry_space_group_name_H-M 'P m -3 m'
_symmetry_Int_Tables_number 221
_symmetry_space_group_name_Hall '-P 4 2 3'
loop_
_atom_site_label
_atom_site_type_symbol
_atom_site_fract_x
_atom_site_fract_y
_atom_site_fract_z
Ga1 Ga 0.000 0.000 0.000
Co1 Co 0.500 0.500 0.500
Ag1 Ag 0.000 0.500 0.500
```

It is arrangement two that is most stable; the runner-up trails by 89 meV/atom.